Record 1
Compound: HfAl2CrNi
Source: Alexandria
Functional: GGA-PBE
Structure: relaxed

Cell lengths 4.3078, 4.3078, 4.4946 Å; angles 90.00, 90.00, 90.00 degrees
Last column: nearest neighbours and their distance in Å.
Space group P4/mmm (No. 123)
Inequivalent atoms, fractional coordinates:
1 Hf 0.0000 0.0000 0.0000  4 Cr 3.05, 8 Al 3.11
2 Al 0.0000 0.5000 0.5000  2 Ni 2.15
3 Cr 0.5000 0.5000 0.0000  2 Ni 2.25
4 Ni 0.5000 0.5000 0.5000  4 Al 2.15, 2 Cr 2.25

Summary:
Total moment = 0.000 μB per formula unit
Energy of formation = 302 meV/atom
D(E_F) = 4.61 states/eV/f.u.

---

Record 2
Compound: HfAlCrRh2
Source: Alexandria
Functional: GGA-PBE
Structure: relaxed

Cell lengths 4.3221, 4.3221, 4.9125 Å; angles 90.00, 90.00, 90.00 degrees
Last column: nearest neighbours and their distance in Å.
Space group P4/mmm (No. 123)
Inequivalent atoms, fractional coordinates:
1 Hf 0.0000 0.0000 0.0000  2 Al 2.46
2 Al 0.0000 0.0000 0.5000  4 Rh 2.16
3 Cr 0.5000 0.5000 0.0000  4 Hf 3.06, 8 Rh 3.27
4 Rh 0.0000 0.5000 0.5000  2 Al 2.16

Summary:
Total moment = 0.000 μB per formula unit
Energy of formation = 922 meV/atom
D(E_F) = 8.76 states/eV/f.u.

---

Record 3
Compound: HfAl2CrRu
Source: Alexandria
Functional: GGA-PBE
Structure: relaxed

Cell lengths 4.6902, 4.6902, 4.8890 Å; angles 90.00, 90.00, 90.00 degrees
Last column: nearest neighbours and their distance in Å.
Space group P4/mmm (No. 123)
Inequivalent atoms, fractional coordinates:
1 Hf 0.0000 0.0000 0.0000  2 Ru 2.44
2 Al 0.0000 0.5000 0.5000  2 Ru 2.35
3 Cr 0.5000 0.5000 0.0000  4 Hf 3.32, 8 Al 3.39
4 Ru 0.0000 0.0000 0.5000  4 Al 2.35, 2 Hf 2.44

Summary:
Total moment = 4.483 μB per formula unit
Energy of formation = 342 meV/atom
D(E_F) = 1.95 states/eV/f.u.

---

Record 4
Compound: HfAlCrSi2
Source: Alexandria
Functional: GGA-PBE
Structure: relaxed

Cell lengths 4.5539, 4.5539, 4.2978 Å; angles 90.00, 90.00, 90.00 degrees
Last column: nearest neighbours and their distance in Å.
Space group P4/mmm (No. 123)
Inequivalent atoms, fractional coordinates:
1 Hf 0.0000 0.0000 0.0000  8 Si 3.13, 4 Cr 3.22
2 Al 0.5000 0.5000 0.5000  2 Cr 2.15, 4 Si 2.28
3 Cr 0.5000 0.5000 0.0000  2 Al 2.15
4 Si 0.0000 0.5000 0.5000  2 Al 2.28

Summary:
Formation energy from raw total energies = 1.007 eV per atom
Total moment = 0.000 μB per formula unit
D(E_F) = 4.54 states/eV/f.u.

---

Record 5
Compound: Sr2HfAlCr
Source: Alexandria
Functional: GGA-PBE
Structure: relaxed

Cell lengths 6.2435, 6.2435, 4.6304 Å; angles 90.00, 90.00, 90.00 degrees
Last column: nearest neighbours and their distance in Å.
Space group P4/mmm (No. 123)
Inequivalent atoms, fractional coordinates:
1 Sr 0.0000 0.5000 0.0000  2 Hf 3.12
2 Hf 0.0000 0.0000 0.0000  2 Cr 2.32
3 Al 0.5000 0.5000 0.5000  8 Sr 3.89
4 Cr 0.0000 0.0000 0.5000  2 Hf 2.32

Summary:
Total moment = 2.016 μB per formula unit
Energy of formation = 1149 meV/atom
D(E_F) = 5.96 states/eV/f.u.

---

Record 6
Compound: HfTiAlCr2
Source: Alexandria
Functional: GGA-PBE
Structure: relaxed

Cell lengths 4.3891, 4.3891, 4.6099 Å; angles 90.00, 90.00, 90.00 degrees
Last column: nearest neighbours and their distance in Å.
Space group P4/mmm (No. 123)
Inequivalent atoms, fractional coordinates:
1 Hf 0.0000 0.0000 0.0000  4 Ti 3.10, 8 Cr 3.18
2 Ti 0.5000 0.5000 0.0000  2 Al 2.30
3 Al 0.5000 0.5000 0.5000  4 Cr 2.19, 2 Ti 2.30
4 Cr 0.0000 0.5000 0.5000  2 Al 2.19

Summary:
Total moment = 0.009 μB per formula unit
Energy of formation = 1053 meV/atom
D(E_F) = 8.79 states/eV/f.u.

---

Record 7
Compound: HfAlTl2Cr
Source: Alexandria
Functional: GGA-PBE
Structure: relaxed

Cell lengths 5.0649, 5.0649, 4.6869 Å; angles 90.00, 90.00, 90.00 degrees
Last column: nearest neighbours and their distance in Å.
Space group P4/mmm (No. 123)
Inequivalent atoms, fractional coordinates:
1 Hf 0.0000 0.0000 0.0000  8 Tl 3.45, 4 Al 3.58
2 Al 0.5000 0.5000 0.0000  2 Cr 2.34
3 Tl 0.0000 0.5000 0.5000  2 Cr 2.53
4 Cr 0.5000 0.5000 0.5000  2 Al 2.34, 4 Tl 2.53

Summary:
Total moment = 2.365 μB per formula unit
Energy of formation = 900 meV/atom
D(E_F) = 4.00 states/eV/f.u.

---

Record 8
Compound: HfAlV2Cr
Source: Alexandria
Functional: GGA-PBE
Structure: relaxed

Cell lengths 4.2938, 4.2938, 4.5919 Å; angles 90.00, 90.00, 90.00 degrees
Last column: nearest neighbours and their distance in Å.
Space group P4/mmm (No. 123)
Inequivalent atoms, fractional coordinates:
1 Hf 0.0000 0.0000 0.0000  4 Al 3.04, 8 V 3.14
2 Al 0.5000 0.5000 0.0000  2 Cr 2.30
3 V 0.0000 0.5000 0.5000  2 Cr 2.15
4 Cr 0.5000 0.5000 0.5000  4 V 2.15, 2 Al 2.30

Summary:
Total moment = 0.000 μB per formula unit
Energy of formation = 561 meV/atom
D(E_F) = 5.58 states/eV/f.u.

---

Record 9
Compound: AlCr2Hg
Source: Alexandria
Functional: GGA-PBE
Structure: relaxed

Cell lengths 4.0672, 4.0793, 7.7226 Å; angles 90.00, 90.00, 90.00 degrees
Last column: nearest neighbours and their distance in Å.
Space group Imm2 (No. 44)
Inequivalent atoms, fractional coordinates:
1 Al 0.0000 0.0000 0.0000  4 Hg 2.80-2.81, 8 Cr 2.80-2.88
2 Cr 0.0000 0.0000 0.4997  4 Cr 2.80-2.81, 4 Hg 2.81, 4 Al 2.88
3 Cr 0.0000 0.5000 0.7501  4 Cr 2.80-2.81, 4 Al 2.80-2.81, 4 Hg 2.88
4 Hg 0.0000 0.5000 0.2500  4 Al 2.80-2.81, 8 Cr 2.81-2.88

Summary:
Total moment = 0.479 μB per formula unit
Energy of formation = 280 meV/atom
D(E_F) = 2.67 states/eV/f.u.
Distance to the lowest polymorph of the same formula = 0.107 eV/atom

---

Record 10
Compound: AlCr2Hg
Source: Alexandria
Functional: GGA-PBE
Structure: relaxed

Cell lengths 2.8935, 2.8935, 26.2754 Å; angles 90.00, 90.00, 120.00 degrees
Last column: nearest neighbours and their distance in Å.
Space group R3m (No. 160, hexagonal axes)
Inequivalent atoms, fractional coordinates:
1 Al 0.0000 0.0000 0.0000  3 Cr 2.70, 6 Al 2.89
2 Cr 0.0000 0.0000 0.2524  3 Cr 2.25
3 Cr 0.0000 0.0000 0.5282  3 Cr 2.25
4 Hg 0.0000 0.0000 0.7666  6 Hg 2.89, 3 Cr 3.00, 3 Al 3.11

Summary:
Total moment = 0.000 μB per formula unit
Energy of formation = 331 meV/atom
D(E_F) = 1.24 states/eV/f.u.
Distance to the lowest polymorph of the same formula = 0.159 eV/atom

---

Record 11
Compound: AlCr2Hg
Source: Alexandria
Functional: GGA-PBE
Structure: relaxed

Cell lengths 7.3023, 7.3023, 5.7907 Å; angles 90.00, 90.00, 90.00 degrees
Last column: nearest neighbours and their distance in Å.
Space group I-42d (No. 122)
Inequivalent atoms, fractional coordinates:
1 Al 0.0000 0.0000 0.0000  4 Cr 2.60, 2 Hg 2.90
2 Cr 0.2335 0.2500 0.1250  2 Al 2.60, 2 Hg 2.76, 2 Cr 2.91
3 Hg 0.0000 0.0000 0.5000  4 Cr 2.76, 2 Al 2.90

Summary:
Total moment = 7.820 μB per formula unit
Energy of formation = 775 meV/atom
D(E_F) = 3.58 states/eV/f.u.
Distance to the lowest polymorph of the same formula = 0.603 eV/atom

---

Record 12
Compound: AlCr2Hg
Source: Alexandria
Functional: GGA-PBE
Structure: relaxed

Cell lengths 6.4437, 6.4437, 6.4437 Å; angles 90.00, 90.00, 90.00 degrees
Last column: nearest neighbours and their distance in Å.
Space group Fm-3m (No. 225)
Inequivalent atoms, fractional coordinates:
1 Al 0.0000 0.0000 0.0000  8 Cr 2.79
2 Cr 0.2500 0.2500 0.2500  4 Hg 2.79, 4 Al 2.79
3 Hg 0.0000 0.0000 0.5000  8 Cr 2.79

Summary:
Total moment = 6.676 μB per formula unit
Energy of formation = 375 meV/atom
D(E_F) = 2.14 states/eV/f.u.
Distance to the lowest polymorph of the same formula = 0.202 eV/atom

---

Record 13
Compound: AlCr2Hg
Source: Alexandria
Functional: GGA-PBE
Structure: relaxed

Cell lengths 6.0728, 7.1394, 3.1054 Å; angles 90.00, 90.00, 90.00 degrees
Last column: nearest neighbours and their distance in Å.
Space group Cmmm (No. 65)
Inequivalent atoms, fractional coordinates:
1 Al 0.0000 0.0000 0.0000  8 Cr 2.81, 2 Hg 3.04, 2 Al 3.11
2 Cr 0.2500 0.2500 0.5000  4 Hg 2.81, 4 Al 2.81, 4 Cr 3.04-3.11
3 Hg 0.0000 0.5000 0.0000  8 Cr 2.81, 2 Al 3.04, 2 Hg 3.11

Summary:
Total moment = 6.925 μB per formula unit
Energy of formation = 368 meV/atom
D(E_F) = 1.83 states/eV/f.u.
Distance to the lowest polymorph of the same formula = 0.196 eV/atom

---

Record 14
Compound: AlCrHg
Source: Alexandria
Functional: GGA-PBE
Structure: relaxed

Cell lengths 3.0960, 3.0960, 6.6646 Å; angles 90.00, 90.00, 120.00 degrees
Last column: nearest neighbours and their distance in Å.
Space group P3m1 (No. 156)
Inequivalent atoms, fractional coordinates:
1 Al 0.0000 0.0000 0.0000  3 Cr 2.68, 3 Hg 2.98
2 Cr 0.3333 0.6667 0.3001  3 Al 2.68, 3 Hg 2.90
3 Hg 0.6667 0.3333 0.6430  3 Cr 2.90, 3 Al 2.98, 6 Hg 3.10

Summary:
Total moment = 3.588 μB per formula unit
Energy of formation = 384 meV/atom
D(E_F) = 2.07 states/eV/f.u.
Distance to the lowest polymorph of the same formula = 0.129 eV/atom